A relaxed SrSmCdAg crystal. Source: Alexandria via LeMat-Bulk, functional GGA-PBE.

The structure belongs to space group P4mm (No. 99); the cell edges are 3.863, 3.863 and 7.776 Å and the angles 90.00°, 90.00° and 90.00°. The distinct sites, in fractional coordinates, are Sr at (0.000, 0.000, 0.000), Sm at (0.000, 0.000, 0.484), Cd at (0.500, 0.500, 0.717) and Ag at (0.500, 0.500, 0.276).

The formation energy comes out at -294 meV/atom. As for the volume: 29.01 A^3/atom. The value obtained for the distance to the lowest polymorph of the same formula is 0 meV per atom.

=====

A relaxed Sm4TlCd2Ag crystal. Source: Alexandria via LeMat-Bulk, functional GGA-PBE.

The structure belongs to space group R-3m (No. 166, hexagonal axes); the cell edges are 5.3665, 5.3665 and 26.4254 Å and the angles 90.00°, 90.00° and 120.00°. The distinct sites, in fractional coordinates, are Sm at (0.0000, 0.0000, 0.1223), Sm at (0.0000, 0.0000, 0.3726), Tl at (0.0000, 0.0000, 0.5000), Cd at (0.0000, 0.0000, 0.2492) and Ag at (0.0000, 0.0000, 0.0000).

The formation energy comes out at -311 meV/atom. As for the volume: 27.46 A^3/atom.

=====

A relaxed SmZn2CdAg5 crystal. Source: Alexandria via LeMat-Bulk, functional GGA-PBE.

The structure belongs to space group P4/mmm (No. 123); the cell edges are 4.895, 4.895 and 7.728 Å and the angles 90.00°, 90.00° and 90.00°. The distinct sites, in fractional coordinates, are Sm at (0.000, 0.000, 0.000), Zn at (0.500, 0.500, 0.346), Cd at (0.000, 0.000, 0.500), Ag at (0.000, 0.500, 0.247) and Ag at (0.500, 0.500, 0.000).

The formation energy comes out at 7 meV/atom. As for the volume: 20.58 A^3/atom.

=====

A relaxed CdAg3Sn crystal. Source: Alexandria via LeMat-Bulk, functional GGA-PBE.

The structure belongs to space group P2_1/m (No. 11); the cell edges are 5.133, 4.907 and 8.317 Å and the angles 90.00°, 107.94° and 90.00°. The distinct sites, in fractional coordinates, are Cd at (0.188, 0.250, 0.017), Ag at (0.230, 0.750, 0.811), Ag at (0.379, 0.250, 0.398), Ag at (0.439, 0.750, 0.202) and Sn at (0.033, 0.750, 0.391).

The formation energy comes out at -7 meV/atom. As for the volume: 19.93 A^3/atom. The value obtained for the distance to the lowest polymorph of the same formula is 0 meV per atom.